No. 1
A relaxed structure of TiCdInAg, computed with PBE.

Calculated values
* space group: F-43m, No. 216
* formation energy: 0.07 eV per atom
* total magnetic moment: 0.3 μB/cell
* volume: 19.506 Å³/atom
* crystal system: cubic
* Fermi-level density of states: 0.71 states/eV/atom

Unit cell a=4.7964 b=4.7964 c=4.7964 alpha=60.00 beta=60.00 gamma=60.00
Last column: nearest neighbours and their distance in Å.
Fractional positions:
Ti: 0.0000 0.0000 0.0000  4 Cd 2.94, 4 In 2.94
Cd: 0.7500 0.7500 0.7500  4 Ti 2.94, 4 Ag 2.94
In: 0.2500 0.2500 0.2500  4 Ti 2.94, 4 Ag 2.94
Ag: 0.5000 0.5000 0.5000  4 Cd 2.94, 4 In 2.94

=====

No. 2
A relaxed structure of Sr4RhSe, computed with PBE.

Calculated values
* space group: F-43m, No. 216
* uncorrected formation energy: 485 meV per atom
* total magnetic moment: 0.0 μB/cell
* volume: 34.668 Å³/atom
* crystal system: cubic
* Fermi-level density of states: 0.84 states/eV/atom

Unit cell a=6.6507 b=6.6507 c=6.6507 alpha=60.00 beta=60.00 gamma=60.00
Last column: nearest neighbours and their distance in Å.
Fractional positions:
Sr: 0.1245 0.1245 0.1245  6 Sr 3.31-3.34
Sr: 0.1245 0.1245 0.6265  6 Sr 3.31-3.34
Sr: 0.1245 0.6265 0.1245  6 Sr 3.31-3.34
Sr: 0.6265 0.1245 0.1245  6 Sr 3.31-3.34
Rh: 0.7500 0.7500 0.7500  12 Sr 3.90, 4 Se 4.07
Se: 0.5000 0.5000 0.5000  12 Sr 3.90, 4 Rh 4.07

=====

No. 3
A relaxed structure of HfFeCoMo, computed with PBE.

Calculated values
* space group: F-43m, No. 216
* formation energy: -0.04 eV per atom
* total magnetic moment: 2.7 μB/cell
* volume: 14.569 Å³/atom
* crystal system: cubic
* Fermi-level density of states: 0.97 states/eV/atom

Unit cell a=4.3518 b=4.3518 c=4.3518 alpha=60.00 beta=60.00 gamma=60.00
Last column: nearest neighbours and their distance in Å.
Fractional positions:
Hf: 0.0000 0.0000 0.0000  4 Fe 2.66, 4 Co 2.66
Fe: 0.7500 0.7500 0.7500  4 Mo 2.66, 4 Hf 2.66
Co: 0.2500 0.2500 0.2500  4 Mo 2.66, 4 Hf 2.66
Mo: 0.5000 0.5000 0.5000  4 Co 2.66, 4 Fe 2.66

=====

No. 4
A relaxed structure of YLuIrPt, computed with PBE.

Calculated values
* space group: F-43m, No. 216
* formation energy: -1.05 eV per atom
* total magnetic moment: 0.0 μB/cell
* volume: 20.154 Å³/atom
* crystal system: cubic
* Fermi-level density of states: 0.52 states/eV/atom

Unit cell a=4.8490 b=4.8490 c=4.8490 alpha=60.00 beta=60.00 gamma=60.00
Last column: nearest neighbours and their distance in Å.
Fractional positions:
Y: 0.0000 0.0000 0.0000  4 Ir 2.97, 4 Pt 2.97
Lu: 0.5000 0.5000 0.5000  4 Ir 2.97, 4 Pt 2.97
Ir: 0.7500 0.7500 0.7500  4 Y 2.97, 4 Lu 2.97
Pt: 0.2500 0.2500 0.2500  4 Lu 2.97, 4 Y 2.97

=====

Which value of total magnetic moment does entry 2 give?
0.0 μB/cell

=====

Among the records above, which one has the lowest Fermi-level density of states?
YLuIrPt